[1]
The following is a DFT calculation (PBE) of crystalline KScGe at its relaxed geometry.

POSCAR file:
```
KScGe
1.0
4.127 0.000 0.000
2.054 4.693 0.000
0.987 0.633 11.330
K Sc Ge
2 2 2
direct
0.216 0.224 0.173
0.784 0.776 0.827
0.122 0.222 0.569
0.878 0.778 0.431
0.415 0.623 0.600
0.585 0.377 0.400
```

Results
Space-group type: P-1 (2)
Calculated formation energy, meV per atom: -231.7

[2]
The following is a DFT calculation (PBE) of crystalline KScGe2 at its relaxed geometry.

POSCAR file:
```
KScGe2
1.0
0.000 3.592 3.592
3.592 0.000 3.592
3.592 3.592 0.000
K Sc Ge
1 1 2
direct
0.000 0.000 0.000
0.500 0.500 0.500
0.250 0.250 0.250
0.750 0.750 0.750
```

Results
Space-group type: Fm-3m (225)
Calculated formation energy, meV per atom: 42.5